The following is a PBE-GGA calculation of an optimized crystal structure of AcAl3Ag2, from the Alexandria database.

Values from the calculation:
- Total DFT energy (no corrections): -23.07 eV/cell
- ΔE to the lowest computed polymorph: 0 meV/atom
- Total moment: 0.0 μB/cell
- ΔE_f: -0.34 eV per atom
- SG: P6/mmm, No. 191

Cell: 4.430 5.744 5.745 Å, 119.99 90.00 90.00°
Sites, in units of the cell vectors:
Ac (0.000, 0.001, 0.000)
Al (0.500, 0.001, 0.500)
Al (0.500, 0.501, 0.500)
Al (0.500, 0.501, 0.000)
Ag (0.000, 0.334, 0.667)
Ag (0.000, 0.668, 0.333)



The following is a PBE-GGA calculation of an optimized crystal structure of Cd4BiSbBr2, from the Alexandria database.

Values from the calculation:
- Total DFT energy (no corrections): -33.50 eV/cell
- Formation energy without anion corrections: -0.218 eV per atom
- Total moment: 0.0 μB/cell
- SG: C2/c, No. 15

Cell: 8.274 8.274 9.466 Å, 116.39 116.39 89.92°
Sites, in units of the cell vectors:
Cd (0.208, 0.709, 0.911)
Cd (0.791, 0.292, 0.589)
Cd (0.209, 0.708, 0.411)
Cd (0.792, 0.291, 0.089)
Cd (0.698, 0.705, 0.902)
Cd (0.795, 0.802, 0.598)
Cd (0.205, 0.198, 0.402)
Cd (0.302, 0.295, 0.098)
Bi (0.000, 0.500, 0.000)
Bi (0.000, 0.500, 0.500)
Sb (0.500, 0.500, 0.500)
Sb (0.000, 0.000, 0.000)
Br (0.500, 0.000, 0.000)
Br (0.500, 0.000, 0.500)
Br (0.000, 0.000, 0.500)
Br (0.500, 0.500, 0.000)



The following is a PBE-GGA calculation of an optimized crystal structure of Mg2VPd, from the Alexandria database.

Values from the calculation:
- Total DFT energy (no corrections): -32.57 eV/cell
- Total moment: 6.9 μB/cell
- ΔE_f: 0.30 eV per atom
- SG: I-42d, No. 122

Cell: 7.416 7.416 5.958 Å, 51.51 51.51 90.00°
Sites, in units of the cell vectors:
Mg (0.658, 0.125, 0.250)
Mg (0.092, 0.625, 0.250)
Mg (0.375, 0.342, 0.750)
Mg (0.875, 0.908, 0.750)
Pd (0.000, 0.000, 0.000)
Pd (0.750, 0.250, 0.500)
V (0.500, 0.500, 0.000)
V (0.250, 0.750, 0.500)



The following is a PBE-GGA calculation of an optimized crystal structure of LaSbI3, from the Alexandria database.

Values from the calculation:
- Total DFT energy (no corrections): -16.77 eV/cell
- ΔE to the lowest computed polymorph: 0 meV/atom
- Formation energy without anion corrections: -0.615 eV per atom
- Total moment: 3.0 μB/cell
- SG: Pm-3m, No. 221

Cell: 6.330 6.330 6.330 Å, 90.00 90.00 90.00°
Sites, in units of the cell vectors:
I (0.000, 0.500, 0.000)
I (0.000, 0.000, 0.500)
I (0.500, 0.000, 0.000)
Sb (0.500, 0.500, 0.500)
La (0.000, 0.000, 0.000)



The following is a PBE-GGA calculation of an optimized crystal structure of Pm3Dy3Pu, from the Alexandria database.

Values from the calculation:
- Total DFT energy (no corrections): -81.85 eV/cell
- Total moment: 12.7 μB/cell
- ΔE_f: 0.21 eV per atom
- SG: R-3, No. 148

Cell: 6.188 6.188 14.671 Å, 77.83 77.83 60.00°
Sites, in units of the cell vectors:
Pm (0.200, 0.869, 0.393)
Pm (0.538, 0.200, 0.393)
Pm (0.869, 0.538, 0.393)
Pm (0.131, 0.462, 0.607)
Pm (0.462, 0.800, 0.607)
Pm (0.800, 0.131, 0.607)
Dy (0.937, 0.270, 0.189)
Dy (0.604, 0.937, 0.189)
Dy (0.270, 0.604, 0.189)
Dy (0.730, 0.396, 0.811)
Dy (0.396, 0.063, 0.811)
Dy (0.063, 0.730, 0.811)
Pu (0.667, 0.667, 0.000)
Pu (0.333, 0.333, 0.000)



The following is a PBE-GGA calculation of an optimized crystal structure of MgSiI2N, from the Alexandria database.

Values from the calculation:
- Total DFT energy (no corrections): -17.79 eV/cell
- ΔE to the lowest computed polymorph: 0 meV/atom
- Formation energy without anion corrections: 0.130 eV per atom
- Total moment: 0.0 μB/cell
- SG: P4/mmm, No. 123

Cell: 5.814 5.814 3.439 Å, 90.00 90.00 90.00°
Sites, in units of the cell vectors:
I (0.000, 0.500, 0.000)
I (0.500, 0.000, 0.000)
Si (0.000, 0.000, 0.000)
Mg (0.500, 0.500, 0.500)
N (0.000, 0.000, 0.500)



The following is a PBE-GGA calculation of an optimized crystal structure of ScOs4W, from the Alexandria database.

Values from the calculation:
- Total DFT energy (no corrections): -63.47 eV/cell
- Total moment: 0.0 μB/cell
- ΔE_f: 0.12 eV per atom
- SG: F-43m, No. 216

Cell: 5.157 5.157 5.157 Å, 60.00 60.00 60.00°
Sites, in units of the cell vectors:
Sc (0.750, 0.750, 0.750)
Os (0.873, 0.376, 0.376)
Os (0.376, 0.376, 0.873)
Os (0.376, 0.873, 0.376)
Os (0.376, 0.376, 0.376)
W (0.000, 0.000, 0.000)



The following is a PBE-GGA calculation of an optimized crystal structure of CaPm4Os, from the Alexandria database.

Values from the calculation:
- Total DFT energy (no corrections): -31.19 eV/cell
- Total moment: 0.0 μB/cell
- ΔE_f: 0.17 eV per atom
- SG: P4/mmm, No. 123

Cell: 4.868 4.868 9.466 Å, 90.00 90.00 90.00°
Sites, in units of the cell vectors:
Ca (0.000, 0.000, 0.000)
Pm (0.500, 0.000, 0.678)
Pm (0.000, 0.500, 0.678)
Pm (0.500, 0.000, 0.322)
Pm (0.000, 0.500, 0.322)
Os (0.500, 0.500, 0.500)



The following is a PBE-GGA calculation of an optimized crystal structure of MgMoIr3, from the Alexandria database.

Values from the calculation:
- Total DFT energy (no corrections): -30.74 eV/cell
- ΔE to the lowest computed polymorph: 468 meV/atom
- Total moment: 0.0 μB/cell
- ΔE_f: 1.65 eV per atom
- SG: Pm-3m, No. 221

Cell: 4.407 4.407 4.407 Å, 90.00 90.00 90.00°
Sites, in units of the cell vectors:
Mo (0.500, 0.500, 0.500)
Ir (0.000, 0.500, 0.000)
Ir (0.000, 0.000, 0.500)
Ir (0.500, 0.000, 0.000)
Mg (0.000, 0.000, 0.000)



The following is a PBE-GGA calculation of an optimized crystal structure of LiTm6Cd5, from the Alexandria database.

Values from the calculation:
- Total DFT energy (no corrections): -36.30 eV/cell
- Total moment: 0.0 μB/cell
- ΔE_f: -0.25 eV per atom
- SG: Cmmm, No. 65

Cell: 5.208 7.382 8.259 Å, 90.00 71.62 90.00°
Sites, in units of the cell vectors:
Cd (0.667, 0.500, 0.666)
Cd (0.339, 0.000, 0.322)
Cd (0.000, 0.500, 0.000)
Cd (0.661, 0.000, 0.678)
Cd (0.333, 0.500, 0.334)
Tm (0.833, 0.753, 0.333)
Tm (0.833, 0.247, 0.333)
Tm (0.500, 0.250, 0.000)
Tm (0.500, 0.750, 0.000)
Tm (0.167, 0.753, 0.667)
Tm (0.167, 0.247, 0.667)
Li (0.000, 0.000, 0.000)



The following is a PBE-GGA calculation of an optimized crystal structure of Rb, from the Alexandria database.

Values from the calculation:
- Total DFT energy (no corrections): -8.09 eV/cell
- ΔE to the lowest computed polymorph: 293 meV/atom
- Total moment: 0.0 μB/cell
- ΔE_f: 0.29 eV per atom
- SG: Im-3m, No. 229

Cell: 12.899 12.899 12.899 Å, 90.00 90.00 90.00°
Sites, in units of the cell vectors:
Rb (0.250, 0.000, 0.500)
Rb (0.750, 0.000, 0.500)
Rb (0.000, 0.500, 0.250)
Rb (0.000, 0.500, 0.750)
Rb (0.500, 0.250, 0.000)
Rb (0.500, 0.750, 0.000)
Rb (0.000, 0.750, 0.500)
Rb (0.000, 0.250, 0.500)
Rb (0.750, 0.500, 0.000)
Rb (0.250, 0.500, 0.000)
Rb (0.500, 0.000, 0.750)
Rb (0.500, 0.000, 0.250)



The following is a PBE-GGA calculation of an optimized crystal structure of Pm5Nd4Tl2, from the Alexandria database.

Values from the calculation:
- Total DFT energy (no corrections): -45.11 eV/cell
- Total moment: 0.5 μB/cell
- ΔE_f: 0.22 eV per atom
- SG: R-3m, No. 166

Cell: 5.366 5.366 16.126 Å, 80.42 80.42 60.00°
Sites, in units of the cell vectors:
Pm (0.804, 0.804, 0.589)
Pm (0.648, 0.648, 0.055)
Pm (0.500, 0.500, 0.500)
Pm (0.352, 0.352, 0.945)
Pm (0.196, 0.196, 0.411)
Nd (0.726, 0.726, 0.821)
Nd (0.573, 0.573, 0.280)
Nd (0.427, 0.427, 0.720)
Nd (0.274, 0.274, 0.179)
Tl (0.118, 0.118, 0.647)
Tl (0.882, 0.882, 0.353)



The following is a PBE-GGA calculation of an optimized crystal structure of SrRh4Au, from the Alexandria database.

Values from the calculation:
- Total DFT energy (no corrections): -34.05 eV/cell
- Total moment: 1.6 μB/cell
- ΔE_f: 0.05 eV per atom
- SG: F-43m, No. 216

Cell: 5.337 5.337 5.337 Å, 60.00 60.00 60.00°
Sites, in units of the cell vectors:
Sr (0.750, 0.750, 0.750)
Rh (0.877, 0.374, 0.374)
Rh (0.374, 0.374, 0.877)
Rh (0.374, 0.877, 0.374)
Rh (0.374, 0.374, 0.374)
Au (0.000, 0.000, 0.000)



The following is a PBE-GGA calculation of an optimized crystal structure of La3Pm2Nd7, from the Alexandria database.

Values from the calculation:
- Total DFT energy (no corrections): -56.83 eV/cell
- Total moment: 0.0 μB/cell
- ΔE_f: 0.07 eV per atom
- SG: P2/m, No. 10

Cell: 3.629 6.574 18.606 Å, 75.73 90.00 90.00°
Sites, in units of the cell vectors:
La (0.500, 0.500, 0.000)
La (0.000, 0.115, 0.339)
La (0.000, 0.885, 0.661)
Pm (0.500, 0.618, 0.330)
Pm (0.500, 0.382, 0.670)
Nd (0.500, 0.245, 0.500)
Nd (0.500, 0.755, 0.500)
Nd (0.000, 0.562, 0.167)
Nd (0.000, 0.000, 0.000)
Nd (0.000, 0.438, 0.833)
Nd (0.500, 0.942, 0.833)
Nd (0.500, 0.058, 0.167)



The following is a PBE-GGA calculation of an optimized crystal structure of LiLa2Ag, from the Alexandria database.

Values from the calculation:
- Total DFT energy (no corrections): -14.85 eV/cell
- ΔE to the lowest computed polymorph: 22 meV/atom
- Total moment: 0.3 μB/cell
- ΔE_f: -0.06 eV per atom
- SG: Fm-3m, No. 225

Cell: 5.431 5.431 5.431 Å, 60.00 60.00 60.00°
Sites, in units of the cell vectors:
Li (0.000, 0.000, 0.000)
Ag (0.500, 0.500, 0.500)
La (0.250, 0.250, 0.250)
La (0.750, 0.750, 0.750)



The following is a PBE-GGA calculation of an optimized crystal structure of ZnPtBr6, from the Alexandria database.

Values from the calculation:
- Total DFT energy (no corrections): -20.52 eV/cell
- Formation energy without anion corrections: -0.396 eV per atom
- Total moment: 0.0 μB/cell
- SG: C2/m, No. 12

Cell: 7.251 7.791 6.847 Å, 109.75 106.34 115.87°
Sites, in units of the cell vectors:
Zn (0.000, 0.000, 0.000)
Pt (0.500, 0.000, 0.000)
Br (0.895, 0.136, 0.309)
Br (0.586, 0.826, 0.691)
Br (0.414, 0.174, 0.309)
Br (0.105, 0.864, 0.691)
Br (0.302, 0.643, 0.000)
Br (0.698, 0.357, 0.000)